# SrPr2FeO5

A relaxed SrPr2FeO5 crystal (GGA+U, the Alexandria database).

a b c (Å): 5.732 6.791 6.791
angles (deg): 90.00 90.00 90.00
Site moments in Bohr magnetons follow the coordinates.
Atoms (fractional coordinates):
Pr  0.500  0.328  0.828  0.00
Pr  0.500  0.672  0.172  0.00
Pr  0.500  0.828  0.672  0.00
Pr  0.500  0.172  0.328  0.00
O  0.236  0.141  0.641  -0.01
O  0.764  0.359  0.141  -0.01
O  0.500  0.000  0.000  0.00
O  0.236  0.359  0.141  -0.01
O  0.500  0.500  0.500  0.00
O  0.764  0.641  0.859  -0.01
O  0.236  0.641  0.859  -0.01
O  0.764  0.859  0.359  -0.01
O  0.764  0.141  0.641  -0.01
O  0.236  0.859  0.359  -0.01
Fe  0.000  0.500  0.000  2.04
Fe  0.000  0.000  0.500  2.04
Sr  0.000  0.000  0.000  0.00
Sr  0.000  0.500  0.500  0.00

Results
density: 6.35 g cm⁻³
M_tot: 0.22 μB per atom
density of states at the Fermi level: 0.0 states/eV/f.u.
SG: P4/mbm, No. 127
electronic total energy: -7.21 eV/atom